# PrY2Ge | the Alexandria database | PBE-GGA | relaxed
data_PrY2Ge
_chemical_formula_sum 'Pr3 Y6 Ge3'
_cell_length_a 3.9997
_cell_length_b 3.9997
_cell_length_c 27.9803
_cell_angle_alpha 90.00
_cell_angle_beta 90.00
_cell_angle_gamma 120.00
_symmetry_space_group_name_H-M 'R 3 m'
_symmetry_Int_Tables_number 160
_symmetry_space_group_name_Hall 'R 3 -2"'
loop_
_atom_site_label
_atom_site_type_symbol
_atom_site_fract_x
_atom_site_fract_y
_atom_site_fract_z
_atom_site_occupancy
Pr1 Pr 0.0000 0.0000 0.0000 1
Y1 Y 0.0000 0.0000 0.5564 1
Y2 Y 0.0000 0.0000 0.7715 1
Ge1 Ge 0.0000 0.0000 0.1634 1
# E_form = -278 meV/atom
# Fermi-level density of states = 1.35 states/eV per atom
# Crystal system = trigonal
# Excess energy over the best structure of this formula in the dataset = 0.000 eV per atom